(1)
# RbInSb2Te, PBEsol geometry, DFT meta-GGA SCAN
# Formation energy (no corrections) in eV per atom: 0.129
# N(E_F) in states/eV/atom: 0.83
# V in Å³/atom: 37.1
data_RbInSb2Te
_space_group_name_H-M_alt 'P 1'
_space_group_IT_number 1
_cell_length_a 5.613
_cell_length_b 5.613
_cell_length_c 5.883
_cell_angle_alpha 90.00
_cell_angle_beta 90.00
_cell_angle_gamma 90.00
loop_
_space_group_symop_operation_xyz
'x,y,z'
loop_
_atom_site_label
_atom_site_fract_x
_atom_site_fract_y
_atom_site_fract_z
Rb1 0.000 0.000 0.000
In1 0.500 0.500 0.500
Sb1 0.000 0.500 0.500
Sb2 0.500 0.000 0.500
Te1 0.500 0.500 0.000

(2)
# Sc2Ru, PBEsol geometry, DFT meta-GGA SCAN
# Energy of formation in meV/atom: -508
# N(E_F) in states/eV/atom: 0.62
# V in Å³/atom: 18.4
data_Sc2Ru
_space_group_name_H-M_alt 'P 1'
_space_group_IT_number 1
_cell_length_a 7.294
_cell_length_b 7.294
_cell_length_c 4.756
_cell_angle_alpha 90.00
_cell_angle_beta 90.00
_cell_angle_gamma 154.18
loop_
_space_group_symop_operation_xyz
'x,y,z'
loop_
_atom_site_label
_atom_site_fract_x
_atom_site_fract_y
_atom_site_fract_z
Sc1 0.072 0.928 0.750
Sc2 0.218 0.782 0.250
Sc3 0.782 0.218 0.750
Sc4 0.928 0.072 0.250
Ru1 0.423 0.577 0.750
Ru2 0.577 0.423 0.250

| no. | calculated total energy (eV/cell) |
| --- | --- |
| 1 | -165.25 |
| 2 | -129.65 |